# 1
## Na2Sb2Te (PBE)

Data for a relaxed Na2Sb2Te crystal.

```
data_Na2Sb2Te
_chemical_formula_sum 'Na4 Sb4 Te2'
_cell_length_a 5.088
_cell_length_b 5.088
_cell_length_c 12.247
_cell_angle_alpha 90.00
_cell_angle_beta 90.00
_cell_angle_gamma 90.00
_space_group_name_H-M_alt 'I 4/m m m'
_space_group_IT_number 139
_space_group_name_Hall '-I 4 2'
loop_
_atom_site_label
_atom_site_fract_x
_atom_site_fract_y
_atom_site_fract_z
Na1 0.000 0.500 0.250
Sb1 0.000 0.000 0.109
Te1 0.000 0.000 0.500
```

density of states at the Fermi level = 3.8 states/eV/f.u.
excess energy over the best structure of this formula in the dataset = 310.6 meV per atom
total magnetization = 0.00 μB/cell

# 2
## NaSb2Te2 (PBE)

Data for a relaxed NaSb2Te2 crystal.

```
data_NaSb2Te2
_chemical_formula_sum 'Na2 Sb4 Te4'
_cell_length_a 4.382
_cell_length_b 4.382
_cell_length_c 16.636
_cell_angle_alpha 90.00
_cell_angle_beta 90.00
_cell_angle_gamma 90.00
_space_group_name_H-M_alt 'I 4/m m m'
_space_group_IT_number 139
_space_group_name_Hall '-I 4 2'
loop_
_atom_site_label
_atom_site_fract_x
_atom_site_fract_y
_atom_site_fract_z
Na1 0.000 0.000 0.000
Sb1 0.000 0.500 0.250
Te1 0.000 0.000 0.410
```

density of states at the Fermi level = 7.2 states/eV/f.u.
excess energy over the best structure of this formula in the dataset = 35.1 meV per atom
total magnetization = 0.00 μB/cell